An optimized crystal structure of Ce8MgIr2. Source: Alexandria via LeMat-Bulk, functional PBE.

Lattice parameters (Å, degrees): 6.491 7.733 7.733 50.15 98.13 98.13
Site moments in Bohr magnetons follow the coordinates.
Positions (direct):
Ce 0.609 0.639 0.130  0.31
Ce 0.391 0.361 0.870  0.31
Mg 0.000 0.000 0.000  0.00
Ce 0.867 0.217 0.217  0.78
Ir 0.702 0.725 0.725  -0.03
Ce 0.188 0.467 0.467  0.08
Ce 0.609 0.130 0.639  0.31
Ce 0.812 0.533 0.533  0.08
Ir 0.298 0.275 0.275  -0.03
Ce 0.133 0.783 0.783  0.78
Ce 0.391 0.870 0.361  0.31

Properties
ΔH_f (0 K) in kJ/mol of formula units: -211
Space group: C2/m, No. 12



An optimized crystal structure of Ce2MgIr. Source: Alexandria via LeMat-Bulk, functional PBE.

Lattice parameters (Å, degrees): 4.037 4.037 8.686 76.56 76.56 60.00
Site moments in Bohr magnetons follow the coordinates.
Positions (direct):
Ce 0.271 0.271 0.186  0.68
Mg 0.500 0.500 0.500  0.01
Ce 0.062 0.062 0.814  0.64
Ir 0.667 0.667 0.000  -0.06

Properties
ΔH_f (0 K) in kJ/mol of formula units: -104
ΔE to the lowest computed polymorph in eV/atom: 0.084
Space group: R3m, No. 160



An optimized crystal structure of Ce2MgIr. Source: Alexandria via LeMat-Bulk, functional PBE.

Lattice parameters (Å, degrees): 3.973 3.976 8.813 103.04 89.99 120.00
Site moments in Bohr magnetons follow the coordinates.
Positions (direct):
Ce 0.314 0.384 0.741  0.71
Ce 0.855 0.466 0.363  0.71
Ir 0.584 0.925 0.552  -0.06
Mg 0.084 0.925 0.052  0.01

Properties
ΔH_f (0 K) in kJ/mol of formula units: -111
ΔE to the lowest computed polymorph in eV/atom: 0.065
Space group: R-3m, No. 166



An optimized crystal structure of Ce2MgIr. Source: Alexandria via LeMat-Bulk, functional PBE.

Lattice parameters (Å, degrees): 3.920 3.920 10.475 79.21 79.21 60.00
Site moments in Bohr magnetons follow the coordinates.
Positions (direct):
Ce 0.886 0.886 0.342  0.81
Mg 0.000 0.000 0.000  0.01
Ir 0.500 0.500 0.500  -0.06
Ce 0.114 0.114 0.658  0.81

Properties
ΔH_f (0 K) in kJ/mol of formula units: -26
ΔE to the lowest computed polymorph in eV/atom: 0.286
Space group: R-3m, No. 166



An optimized crystal structure of Ce2MgIr9. Source: Alexandria via LeMat-Bulk, functional PBE.

Lattice parameters (Å, degrees): 5.272 5.272 9.405 73.72 73.72 60.00
Positions (direct):
Ir 0.418 0.418 0.246
Ir 0.667 0.667 0.998
Ir 0.582 0.582 0.754
Ir 0.418 0.919 0.246
Ce 0.863 0.863 0.410
Ir 0.333 0.333 0.002
Ir 0.582 0.081 0.754
Ir 0.919 0.418 0.246
Ce 0.137 0.137 0.590
Ir 0.081 0.582 0.754
Ir 0.500 0.500 0.500
Mg 0.000 0.000 0.000

Properties
ΔH_f (0 K) in kJ/mol of formula units: -450
Space group: R-3m, No. 166



An optimized crystal structure of CeMg4Ir2. Source: Alexandria via LeMat-Bulk, functional PBE.

Lattice parameters (Å, degrees): 3.724 8.743 8.743 90.00 90.00 90.00
Positions (direct):
Ce 0.000 0.500 0.500
Ir 0.500 0.666 0.666
Mg 0.500 0.165 0.603
Ir 0.000 0.166 0.834
Mg 0.500 0.835 0.397
Mg 0.000 0.897 0.665
Mg 0.000 0.103 0.335
Mg 0.500 0.603 0.165
Ce 0.500 0.000 0.000
Mg 0.000 0.335 0.103
Mg 0.000 0.665 0.897
Ir 0.000 0.834 0.166
Mg 0.500 0.397 0.835
Ir 0.500 0.334 0.334

Properties
ΔH_f (0 K) in kJ/mol of formula units: -293
Space group: P4_2/mnm, No. 136